Record 1
Crystalline Rb2TcBiO6 at its relaxed geometry. Source: the Alexandria database, functional PBE-GGA.

Formation energy (no corrections): -1394.0 meV/atom
Total energy: -5.9871 eV/atom

Cell: 6.063 6.063 6.063 Å, 60.00 60.00 60.00°
Sites, in units of the cell vectors:
Rb 0.250 0.250 0.250
Rb 0.750 0.750 0.750
Tc 0.000 0.000 0.000
Bi 0.500 0.500 0.500
O 0.223 0.223 0.777
O 0.223 0.777 0.223
O 0.223 0.777 0.777
O 0.777 0.223 0.223
O 0.777 0.223 0.777
O 0.777 0.777 0.223

Record 2
Crystalline RbTc2BiO8 at its relaxed geometry. Source: the Alexandria database, functional PBE-GGA.

Formation energy (no corrections): -1411.8 meV/atom
Total energy: -6.8490 eV/atom

Cell: 5.879 5.879 8.362 Å, 90.00 90.00 120.00°
Sites, in units of the cell vectors:
Rb 0.000 0.000 0.000
Tc 0.333 0.667 0.753
Tc 0.667 0.333 0.247
Bi 0.000 0.000 0.500
O 0.100 0.343 0.681
O 0.244 0.900 0.681
O 0.333 0.667 0.961
O 0.343 0.244 0.319
O 0.657 0.756 0.681
O 0.667 0.333 0.039
O 0.756 0.100 0.319
O 0.900 0.657 0.319

Record 3
Crystalline RbBiTe2O8 at its relaxed geometry. Source: the Alexandria database, functional PBE-GGA.

Formation energy (no corrections): -1034.4 meV/atom
Total energy: -5.2676 eV/atom

Cell: 10.103 10.103 10.103 Å, 31.63 31.63 31.63°
Sites, in units of the cell vectors:
Rb 0.000 0.000 0.000
Bi 0.500 0.500 0.500
Te 0.242 0.242 0.242
Te 0.758 0.758 0.758
O 0.106 0.475 0.761
O 0.239 0.525 0.894
O 0.305 0.305 0.305
O 0.475 0.761 0.106
O 0.525 0.894 0.239
O 0.695 0.695 0.695
O 0.761 0.106 0.475
O 0.894 0.239 0.525

Record 4
Crystalline Rb2BiTeO at its relaxed geometry. Source: the Alexandria database, functional PBE-GGA.

Formation energy (no corrections): 119.8 meV/atom
Total energy: -2.6634 eV/atom

Cell: 6.975 6.975 5.843 Å, 90.00 90.00 90.00°
Sites, in units of the cell vectors:
Rb 0.000 0.500 0.000
Rb 0.500 0.000 0.000
Bi 0.000 0.000 0.500
Te 0.000 0.000 0.000
O 0.500 0.500 0.500

Record 5
Crystalline Rb3BiTe2O9 at its relaxed geometry. Source: the Alexandria database, functional PBE-GGA.

Formation energy (no corrections): -1211.3 meV/atom
Total energy: -5.0574 eV/atom

Cell: 5.957 5.957 7.363 Å, 90.00 90.00 120.00°
Sites, in units of the cell vectors:
Rb 0.000 0.000 0.000
Rb 0.333 0.667 0.667
Rb 0.667 0.333 0.333
Bi 0.000 0.000 0.500
Te 0.333 0.667 0.164
Te 0.667 0.333 0.836
O 0.000 0.500 0.000
O 0.178 0.356 0.309
O 0.178 0.822 0.309
O 0.356 0.178 0.691
O 0.500 0.000 0.000
O 0.500 0.500 0.000
O 0.644 0.822 0.309
O 0.822 0.178 0.691
O 0.822 0.644 0.691

Record 6
Crystalline Rb2ThBiO6 at its relaxed geometry. Source: the Alexandria database, functional PBE-GGA.

Formation energy (no corrections): -1880.0 meV/atom
Total energy: -6.1785 eV/atom

Cell: 6.286 6.286 6.286 Å, 60.00 60.00 60.00°
Sites, in units of the cell vectors:
Rb 0.250 0.250 0.250
Rb 0.750 0.750 0.750
Th 0.000 0.000 0.000
Bi 0.500 0.500 0.500
O 0.258 0.258 0.742
O 0.258 0.742 0.258
O 0.258 0.742 0.742
O 0.742 0.258 0.258
O 0.742 0.258 0.742
O 0.742 0.742 0.258